Compound: BaZrCd2
Source: Alexandria
Functional: PBE
Structure: optimized geometry

Calculated values
Density of states at the Fermi level (states/eV/atom): 1.07
E_form (eV/atom): 0.13
E above lowest polymorph (meV per atom): 198
Raw total energy (eV/atom): -2.942

Cell: 5.211 5.211 7.233 Å, 100.45 100.45 40.46°
Element x y z (fractional)
Ba  0.000  0.000  0.000
Zr  0.500  0.500  0.500
Cd  0.239  0.239  0.675
Cd  0.761  0.761  0.325